1.
Computed, not measured: ZrAgRh2 after structural relaxation at the PBE-GGA level of DFT.

a b c (Å): 6.467 6.467 6.467
angles (deg): 90.00 90.00 90.00
Positions (direct):
1 Zr 0.000 0.000 0.000
2 Zr 0.000 0.500 0.500
3 Zr 0.500 0.000 0.500
4 Zr 0.500 0.500 0.000
5 Ag 0.250 0.250 0.250
6 Ag 0.250 0.750 0.750
7 Ag 0.750 0.250 0.750
8 Ag 0.750 0.750 0.250
9 Rh 0.000 0.000 0.500
10 Rh 0.000 0.500 0.000
11 Rh 0.250 0.250 0.750
12 Rh 0.250 0.750 0.250
13 Rh 0.500 0.000 0.000
14 Rh 0.500 0.500 0.500
15 Rh 0.750 0.250 0.250
16 Rh 0.750 0.750 0.750

Calculated values
Calculated volume (A^3/atom): 16.9
Crystal system: cubic
Raw total energy (hartree per atom): -0.245

2.
Computed, not measured: CuSbSe2 after structural relaxation at the PBE-GGA level of DFT.

a b c (Å): 4.286 4.286 22.640
angles (deg): 90.00 90.00 120.00
Positions (direct):
1 Cu 0.000 0.000 0.000
2 Cu 0.333 0.667 0.667
3 Cu 0.667 0.333 0.333
4 Sb 0.000 0.000 0.500
5 Sb 0.333 0.667 0.167
6 Sb 0.667 0.333 0.833
7 Se 0.000 0.000 0.100
8 Se 0.000 0.000 0.900
9 Se 0.333 0.667 0.567
10 Se 0.333 0.667 0.766
11 Se 0.667 0.333 0.234
12 Se 0.667 0.333 0.433

Calculated values
Calculated volume (A^3/atom): 30.0
ΔE_f (raw) (eV per formula unit): -0.3
Crystal system: trigonal
Raw total energy (hartree per atom): -0.142

3.
Computed, not measured: BaBeNi2P6 after structural relaxation at the PBE-GGA level of DFT.

a b c (Å): 8.433 8.433 8.433
angles (deg): 40.17 40.17 40.17
Positions (direct):
1 Ba 0.000 0.000 0.000
2 Be 0.500 0.500 0.500
3 Ni 0.259 0.259 0.259
4 Ni 0.741 0.741 0.741
5 P 0.167 0.550 0.550
6 P 0.450 0.450 0.833
7 P 0.450 0.833 0.450
8 P 0.550 0.167 0.550
9 P 0.550 0.550 0.167
10 P 0.833 0.450 0.450

Calculated values
Calculated volume (A^3/atom): 22.5
Crystal system: trigonal
Raw total energy (hartree per atom): -0.188

4.
Computed, not measured: Cr2C after structural relaxation at the PBE-GGA level of DFT.

a b c (Å): 2.682 2.682 4.885
angles (deg): 90.00 90.00 120.00
Positions (direct):
1 Cr 0.000 0.000 0.236
2 Cr 0.000 0.000 0.764
3 C 0.333 0.667 0.500

Calculated values
Calculated volume (A^3/atom): 10.1
Crystal system: hexagonal
Raw total energy (hartree per atom): -0.332